# YbFeGe2O7

Crystalline YbFeGe2O7 at its relaxed geometry (PBE+U, Alexandria via LeMat-Bulk).

**ρ**: 5682 kg/m³
**Final energy**: -6.529 eV/atom
**V**: 568.3 Å³ per cell

Lattice parameters (Å, degrees): 10.8646 8.7084 6.7422 90.00 117.01 90.00
Last column: nearest neighbours and their distance in Å.
Space group C2/m (No. 12)
Unique sites:
1 Yb 0.0000 0.2041 0.0000 [4 per cell]  6 O 2.24-2.47
2 Fe 0.0000 0.3039 0.5000 [4 per cell]  6 O 1.97-2.18
3 Ge 0.1957 0.5000 0.9237 [4 per cell]  4 O 1.74-1.82
4 Ge 0.2196 0.0000 0.5195 [4 per cell]  4 O 1.78-1.80
5 O 0.1078 0.3236 0.8262 [8 per cell]  1 Ge 1.77, 1 Fe 1.97
6 O 0.1126 0.1640 0.4079 [8 per cell]  1 Ge 1.78
7 O 0.1330 0.0000 0.0314 [4 per cell]  1 Ge 1.74
8 O 0.1340 0.5000 0.5384 [4 per cell]  1 Ge 1.80
9 O 0.1839 0.5000 0.1848 [4 per cell]  2 Ge 1.78-1.82